This record from the Alexandria database describes an optimized crystal structure of EuMg2Pb. The functional is PBE.

```
data_EuMg2Pb
_chemical_formula_sum 'Eu1 Mg2 Pb1'
_space_group_name_H-M_alt 'P 1'
_space_group_IT_number 1
_space_group_name_Hall 'P 1'
_cell_length_a 3.4191
_cell_length_b 3.4191
_cell_length_c 12.0226
_cell_angle_alpha 81.83
_cell_angle_beta 81.83
_cell_angle_gamma 60.00
loop_
_atom_site_label
_atom_site_fract_x
_atom_site_fract_y
_atom_site_fract_z
_atom_site_occupancy
Pb1 0.5000 0.5000 0.5000 1
Eu1 0.0000 0.0000 0.0000 1
Mg1 0.0926 0.0926 0.7221 1
Mg2 0.9074 0.9074 0.2779 1
```

The volume is 30.0 Å³ per atom. The value obtained for the density of states at the Fermi level is 0.69 states/eV per atom. The value obtained for the calculated density is 5.64 Mg/m³. The calculation puts the calculated formation energy at 156 meV/atom. The size of the total moment is 7.811 μB per formula unit.

=====

This record from the Alexandria database describes an optimized crystal structure of Na2CeGeTe4. The functional is PBE.

```
data_Na2CeGeTe4
_chemical_formula_sum 'Na2 Ce1 Ge1 Te4'
_space_group_name_H-M_alt 'P 1'
_space_group_IT_number 1
_space_group_name_Hall 'P 1'
_cell_length_a 4.4556
_cell_length_b 7.7284
_cell_length_c 7.7801
_cell_angle_alpha 108.68
_cell_angle_beta 90.00
_cell_angle_gamma 90.00
loop_
_atom_site_label
_atom_site_fract_x
_atom_site_fract_y
_atom_site_fract_z
_atom_site_occupancy
Na1 0.5000 0.0000 0.5000 1
Na2 0.0000 0.5000 0.5000 1
Ce1 0.5000 0.5000 0.0000 1
Ge1 0.0000 0.0000 0.0000 1
Te1 0.5000 0.2381 0.2226 1
Te2 0.5000 0.7619 0.7774 1
Te3 0.0000 0.2507 0.7710 1
Te4 0.0000 0.7493 0.2290 1
```

The volume is 31.7 Å³ per atom. The value obtained for the density of states at the Fermi level is 0.12 states/eV per atom. The value obtained for the calculated density is 5.03 Mg/m³. The size of the total moment is 0.117 μB per formula unit. The calculation puts the formation energy (no corrections) at -0.838 eV per atom.

=====

This record from the Alexandria database describes an optimized crystal structure of LiY2HgH. The functional is PBE.

```
data_LiY2HgH
_chemical_formula_sum 'Li1 Y2 Hg1 H1'
_space_group_name_H-M_alt 'P 1'
_space_group_IT_number 1
_space_group_name_Hall 'P 1'
_cell_length_a 5.6998
_cell_length_b 4.7348
_cell_length_c 5.6998
_cell_angle_alpha 90.00
_cell_angle_beta 90.00
_cell_angle_gamma 90.00
loop_
_atom_site_label
_atom_site_fract_x
_atom_site_fract_y
_atom_site_fract_z
_atom_site_occupancy
Y1 0.0000 0.0000 0.5000 1
Y2 0.5000 0.0000 0.0000 1
H1 0.5000 0.5000 0.5000 1
Hg1 0.0000 0.0000 0.0000 1
Li1 0.0000 0.5000 0.0000 1
```

The volume is 30.8 Å³ per atom. The value obtained for the calculated total energy is -15.7 eV/cell. The value obtained for the density of states at the Fermi level is 0.58 states/eV per atom. The value obtained for the calculated density is 4.17 Mg/m³. The size of the total moment is 0.000 μB per formula unit.

=====

This record from the Alexandria database describes an optimized crystal structure of YCoSe2. The functional is PBE.

```
data_YCoSe2
_chemical_formula_sum 'Y1 Co1 Se2'
_space_group_name_H-M_alt 'P 1'
_space_group_IT_number 1
_space_group_name_Hall 'P 1'
_cell_length_a 5.0077
_cell_length_b 5.0077
_cell_length_c 5.0077
_cell_angle_alpha 134.14
_cell_angle_beta 113.42
_cell_angle_gamma 84.62
loop_
_atom_site_label
_atom_site_fract_x
_atom_site_fract_y
_atom_site_fract_z
_atom_site_occupancy
Co1 0.7500 0.2500 0.5000 1
Se1 0.9512 0.9512 0.0000 1
Se2 0.5488 0.5488 0.0000 1
Y1 0.2500 0.7500 0.5000 1
```

The volume is 19.9 Å³ per atom. The value obtained for the density of states at the Fermi level is 0.49 states/eV per atom. The value obtained for the calculated density is 6.39 Mg/m³. The size of the total moment is 1.660 μB per formula unit. The calculation puts the formation energy (no corrections) at -0.801 eV per atom.

=====

This record from the Alexandria database describes an optimized crystal structure of Pu2ZnCdO8. The functional is PBE.

```
data_Pu2ZnCdO8
_chemical_formula_sum 'Pu2 Zn1 Cd1 O8'
_space_group_name_H-M_alt 'P 1'
_space_group_IT_number 1
_space_group_name_Hall 'P 1'
_cell_length_a 5.3063
_cell_length_b 5.3063
_cell_length_c 6.4353
_cell_angle_alpha 114.35
_cell_angle_beta 114.35
_cell_angle_gamma 90.00
loop_
_atom_site_label
_atom_site_fract_x
_atom_site_fract_y
_atom_site_fract_z
_atom_site_occupancy
Pu1 0.5000 0.5000 0.0000 1
Pu2 0.2500 0.7500 0.5000 1
Zn1 0.7500 0.2500 0.5000 1
Cd1 0.0000 0.0000 0.0000 1
O1 0.8574 0.8935 0.3066 1
O2 0.4492 0.4131 0.3066 1
O3 0.5996 0.6874 0.7992 1
O4 0.1996 0.1118 0.7992 1
O5 0.8882 0.4004 0.2008 1
O6 0.3126 0.8004 0.2008 1
O7 0.1065 0.5508 0.6934 1
O8 0.5869 0.1426 0.6934 1
```

The volume is 12.3 Å³ per atom. The value obtained for the density of states at the Fermi level is 0.83 states/eV per atom. The value obtained for the calculated density is 8.95 Mg/m³. The size of the total moment is 4.000 μB per formula unit. The calculation puts the formation energy (no corrections) at -1.902 eV per atom.

=====

This record from the Alexandria database describes an optimized crystal structure of Rb12Sn3Cl5. The functional is PBE.

```
data_Rb12Sn3Cl5
_chemical_formula_sum 'Rb48 Sn12 Cl20'
_space_group_name_H-M_alt 'P 1'
_space_group_IT_number 1
_space_group_name_Hall 'P 1'
_cell_length_a 17.7861
_cell_length_b 17.7861
_cell_length_c 17.7861
_cell_angle_alpha 109.47
_cell_angle_beta 109.47
_cell_angle_gamma 109.47
loop_
_atom_site_label
_atom_site_fract_x
_atom_site_fract_y
_atom_site_fract_z
_atom_site_occupancy
Sn1 0.7500 0.3750 0.1250 1
Sn2 0.8750 0.7500 0.1250 1
Sn3 0.3750 0.7500 0.6250 1
Sn4 0.2500 0.1250 0.3750 1
Sn5 0.8750 0.1250 0.2500 1
Sn6 0.3750 0.6250 0.2500 1
Sn7 0.6250 0.3750 0.7500 1
Sn8 0.1250 0.8750 0.7500 1
Sn9 0.7500 0.8750 0.6250 1
Sn10 0.6250 0.2500 0.3750 1
Sn11 0.1250 0.2500 0.8750 1
Sn12 0.2500 0.6250 0.8750 1
Cl1 0.1250 0.3750 0.2500 1
Cl2 0.0000 0.5000 0.0000 1
Cl3 0.0000 0.0000 0.0000 1
Cl4 0.3750 0.2500 0.1250 1
Cl5 0.5000 0.0000 0.5000 1
Cl6 0.5000 0.5000 0.0000 1
Cl7 0.1250 0.7500 0.3750 1
Cl8 0.7500 0.1250 0.8750 1
Cl9 0.7500 0.6250 0.3750 1
Cl10 0.3750 0.1250 0.7500 1
Cl11 0.6250 0.8750 0.2500 1
Cl12 0.5000 0.5000 0.5000 1
Cl13 0.5000 0.0000 0.0000 1
Cl14 0.0000 0.0000 0.5000 1
Cl15 0.2500 0.3750 0.6250 1
Cl16 0.2500 0.8750 0.1250 1
Cl17 0.0000 0.5000 0.5000 1
Cl18 0.8750 0.2500 0.6250 1
Cl19 0.6250 0.7500 0.8750 1
Cl20 0.8750 0.6250 0.7500 1
Rb1 0.7132 0.1291 0.0393 1
Rb2 0.3261 0.5393 0.4102 1
Rb3 0.9607 0.3709 0.2868 1
Rb4 0.5393 0.2132 0.1291 1
Rb5 0.5841 0.7132 0.6739 1
Rb6 0.9607 0.5898 0.1739 1
Rb7 0.3261 0.7868 0.4159 1
Rb8 0.0898 0.9159 0.1291 1
Rb9 0.5898 0.9607 0.6739 1
Rb10 0.7132 0.5841 0.1739 1
Rb11 0.7868 0.4607 0.3709 1
Rb12 0.8261 0.9102 0.0393 1
Rb13 0.1291 0.7132 0.5393 1
Rb14 0.3709 0.4102 0.0841 1
Rb15 0.0841 0.9102 0.3709 1
Rb16 0.4159 0.1291 0.5898 1
Rb17 0.0841 0.1739 0.2132 1
Rb18 0.4607 0.6739 0.0898 1
Rb19 0.8261 0.9159 0.2868 1
Rb20 0.1291 0.4159 0.0898 1
Rb21 0.3709 0.9607 0.7868 1
Rb22 0.5898 0.6291 0.4159 1
Rb23 0.9102 0.8261 0.5393 1
Rb24 0.7868 0.3261 0.9159 1
Rb25 0.4102 0.3709 0.5841 1
Rb26 0.0898 0.1739 0.4607 1
Rb27 0.2132 0.6739 0.0841 1
Rb28 0.1739 0.0841 0.7132 1
Rb29 0.6291 0.0393 0.2132 1
Rb30 0.8709 0.5841 0.9102 1
Rb31 0.5393 0.3261 0.9102 1
Rb32 0.5841 0.8709 0.4102 1
Rb33 0.9159 0.8261 0.7868 1
Rb34 0.9159 0.0898 0.6291 1
Rb35 0.8709 0.2868 0.4607 1
Rb36 0.1739 0.0898 0.9607 1
Rb37 0.6291 0.5898 0.9159 1
Rb38 0.4102 0.0393 0.3261 1
Rb39 0.2868 0.4159 0.8261 1
Rb40 0.2132 0.5393 0.6291 1
Rb41 0.9102 0.0841 0.8709 1
Rb42 0.6739 0.2132 0.5841 1
Rb43 0.4607 0.7868 0.8709 1
Rb44 0.0393 0.4102 0.8261 1
Rb45 0.4159 0.2868 0.3261 1
Rb46 0.0393 0.6291 0.7132 1
Rb47 0.6739 0.4607 0.5898 1
Rb48 0.2868 0.8709 0.9607 1
```

The volume is 54.1 Å³ per atom. The value obtained for the density of states at the Fermi level is 0.51 states/eV per atom. The value obtained for the calculated density is 2.39 Mg/m³. The size of the total moment is 5.079 μB per formula unit. The calculation puts the formation energy (no corrections) at -0.891 eV per atom.

=====

This record from the Alexandria database describes an optimized crystal structure of V2BTeCl. The functional is PBE.

```
data_V2BTeCl
_chemical_formula_sum 'V2 B1 Te1 Cl1'
_space_group_name_H-M_alt 'P 1'
_space_group_IT_number 1
_space_group_name_Hall 'P 1'
_cell_length_a 5.1373
_cell_length_b 5.5950
_cell_length_c 5.1373
_cell_angle_alpha 90.00
_cell_angle_beta 90.00
_cell_angle_gamma 90.00
loop_
_atom_site_label
_atom_site_fract_x
_atom_site_fract_y
_atom_site_fract_z
_atom_site_occupancy
Cl1 0.0000 0.5000 0.0000 1
B1 0.5000 0.5000 0.5000 1
Te1 0.0000 0.0000 0.0000 1
V1 0.0000 0.0000 0.5000 1
V2 0.5000 0.0000 0.0000 1
```

The volume is 29.5 Å³ per atom. The value obtained for the density of states at the Fermi level is 1.35 states/eV per atom. The value obtained for the calculated density is 3.10 Mg/m³. The size of the total moment is 6.831 μB per formula unit. The calculation puts the formation energy (no corrections) at 1.775 eV per atom.

=====

This record from the Alexandria database describes an optimized crystal structure of DyAg2SnS4. The functional is PBE.

```
data_DyAg2SnS4
_chemical_formula_sum 'Dy1 Ag2 Sn1 S4'
_space_group_name_H-M_alt 'P 1'
_space_group_IT_number 1
_space_group_name_Hall 'P 1'
_cell_length_a 3.9640
_cell_length_b 6.9138
_cell_length_c 6.6167
_cell_angle_alpha 110.31
_cell_angle_beta 90.00
_cell_angle_gamma 90.00
loop_
_atom_site_label
_atom_site_fract_x
_atom_site_fract_y
_atom_site_fract_z
_atom_site_occupancy
Dy1 0.5000 0.5000 0.0000 1
Ag1 0.5000 0.0000 0.5000 1
Ag2 0.0000 0.5000 0.5000 1
Sn1 0.0000 0.0000 0.0000 1
S1 0.5000 0.2511 0.2498 1
S2 0.5000 0.7489 0.7502 1
S3 0.0000 0.2509 0.7581 1
S4 0.0000 0.7491 0.2419 1
```

The volume is 21.3 Å³ per atom. The value obtained for the density of states at the Fermi level is 0.17 states/eV per atom. The value obtained for the calculated density is 6.10 Mg/m³. The size of the total moment is 0.000 μB per formula unit. The calculation puts the formation energy (no corrections) at -0.758 eV per atom.